*A*
LaPu2Pt2 (PBE-GGA, optimized geometry); crystal system = orthorhombic; size of the total moment = 11.66 μB/f.u.
1.0
2.0904 -6.9115 0.0000
2.0904 6.9115 0.0000
0.0000 0.0000 8.9740
La Pu Pt
2 4 4
direct
0.0911 0.9089 0.5000
0.9089 0.0911 0.0000
0.1813 0.8187 0.1209
0.3789 0.6211 0.3590
0.6211 0.3789 0.8590
0.8187 0.1813 0.6209
0.2687 0.7313 0.8248
0.4621 0.5379 0.6718
0.5379 0.4621 0.1718
0.7313 0.2687 0.3248


*B*
LaPu2Pt2 (PBE-GGA, optimized geometry); crystal system = monoclinic; size of the total moment = 0.00 μB/f.u.
1.0
4.7982 -3.7182 0.0000
4.7982 3.7182 0.0000
-2.2179 0.0000 6.1911
La Pu Pt
2 4 4
direct
0.0895 0.9105 0.7500
0.9105 0.0895 0.2500
0.3645 0.4611 0.0756
0.4611 0.3645 0.5756
0.5389 0.6355 0.4244
0.6355 0.5389 0.9244
0.0027 0.4029 0.6850
0.4029 0.0027 0.1850
0.5971 0.9973 0.8150
0.9973 0.5971 0.3150


Most stable structure: *A*


*A*
LaPuPt (PBE-GGA, optimized geometry); crystal system = hexagonal; size of the total moment = 5.36 μB/f.u.
1.0
5.0737 0.0000 0.0000
-2.5369 4.3940 0.0000
0.0000 0.0000 2.9964
La Pu Pt
1 1 1
direct
0.0000 0.0000 0.0000
0.3333 0.6667 0.0000
0.6667 0.3333 0.5000


*B*
LaPuPt (PBE-GGA, optimized geometry); crystal system = hexagonal; size of the total moment = 5.98 μB/f.u.
1.0
5.0033 0.0000 0.0000
-2.5016 4.3330 0.0000
0.0000 0.0000 6.8780
La Pu Pt
2 2 2
direct
0.0000 0.0000 0.0000
0.0000 0.0000 0.5000
0.3333 0.6667 0.2500
0.6667 0.3333 0.7500
0.3333 0.6667 0.7500
0.6667 0.3333 0.2500


Most stable structure: *B*


*A*
LaPuPtRh (PBE-GGA, optimized geometry); crystal system = cubic; size of the total moment = 5.36 μB/f.u.
1.0
0.0000 3.5506 3.5506
3.5506 0.0000 3.5506
3.5506 3.5506 0.0000
La Pu Pt Rh
1 1 1 1
direct
0.0000 0.0000 0.0000
0.5000 0.5000 0.5000
0.2500 0.2500 0.2500
0.7500 0.7500 0.7500


*B*
LaPuPtRh (PBE-GGA, optimized geometry); crystal system = orthorhombic; size of the total moment = 5.40 μB/f.u.
1.0
4.2685 0.0000 0.0000
0.0000 1.9661 5.5710
0.0000 -1.9661 5.5710
La Pu Pt Rh
1 1 1 1
direct
0.0000 0.0000 0.0000
0.5000 0.2776 0.2776
0.5000 0.5606 0.5606
0.0000 0.7431 0.7431


Most stable structure: *B*


*A*
Rb2LaPt (PBE-GGA, optimized geometry); crystal system = tetragonal; size of the total moment = 0.00 μB/f.u.
1.0
-6.4136 6.4136 2.6770
6.4136 -6.4136 2.6770
6.4136 6.4136 -2.6770
Rb La Pt
4 2 2
direct
0.3750 0.0124 0.1374
0.7624 0.6250 0.6374
0.8750 0.2376 0.8626
0.9876 0.1250 0.3626
0.2500 0.7500 0.5000
0.5000 0.5000 0.0000
0.0000 0.0000 0.0000
0.7500 0.2500 0.5000


*B*
Rb2LaPt (PBE-GGA, optimized geometry); crystal system = cubic; size of the total moment = 0.00 μB/f.u.
1.0
0.0000 4.0314 4.0314
4.0314 0.0000 4.0314
4.0314 4.0314 0.0000
Rb La Pt
2 1 1
direct
0.2500 0.2500 0.2500
0.7500 0.7500 0.7500
0.0000 0.0000 0.0000
0.5000 0.5000 0.5000


Most stable structure: *A*


*A*
RbLaPt3 (PBE-GGA, optimized geometry); crystal system = cubic; size of the total moment = 0.00 μB/f.u.
1.0
5.1436 0.0000 0.0000
0.0000 5.1436 0.0000
0.0000 0.0000 5.1436
Rb La Pt
1 1 3
direct
0.0000 0.0000 0.0000
0.5000 0.5000 0.5000
0.0000 0.0000 0.5000
0.0000 0.5000 0.0000
0.5000 0.0000 0.0000


*B*
RbLaPt3 (PBE-GGA, optimized geometry); crystal system = cubic; size of the total moment = 0.00 μB/f.u.
1.0
5.4940 0.0000 0.0000
0.0000 5.4940 0.0000
0.0000 0.0000 5.4940
Rb La Pt
1 1 3
direct
0.0000 0.0000 0.0000
0.5000 0.5000 0.5000
0.0000 0.5000 0.5000
0.5000 0.0000 0.5000
0.5000 0.5000 0.0000


Most stable structure: *B*


*A*
RbLaPt2 (PBE-GGA, optimized geometry); crystal system = cubic; size of the total moment = 0.00 μB/f.u.
1.0
0.0000 3.7018 3.7018
3.7018 0.0000 3.7018
3.7018 3.7018 0.0000
Rb La Pt
1 1 2
direct
0.0000 0.0000 0.0000
0.5000 0.5000 0.5000
0.2500 0.2500 0.2500
0.7500 0.7500 0.7500


*B*
RbLaPt2 (PBE-GGA, optimized geometry); crystal system = tetragonal; size of the total moment = 0.00 μB/f.u.
1.0
-4.0459 4.0459 4.1631
4.0459 -4.0459 4.1631
4.0459 4.0459 -4.1631
Rb La Pt
2 2 4
direct
0.0000 0.0000 0.0000
0.7500 0.2500 0.5000
0.2500 0.7500 0.5000
0.5000 0.5000 0.0000
0.1808 0.6250 0.0558
0.3750 0.4308 0.5558
0.5692 0.1250 0.9442
0.8750 0.8192 0.4442


Most stable structure: *A*


*A*
LaRePt2 (PBE-GGA, optimized geometry); crystal system = tetragonal; size of the total moment = 0.75 μB/f.u.
1.0
-2.1395 2.1395 4.1402
2.1395 -2.1395 4.1402
2.1395 2.1395 -4.1402
La Re Pt
1 1 2
direct
0.0000 0.0000 0.0000
0.5000 0.5000 0.0000
0.2500 0.7500 0.5000
0.7500 0.2500 0.5000


*B*
LaRePt2 (PBE-GGA, optimized geometry); crystal system = monoclinic; size of the total moment = 0.02 μB/f.u.
1.0
2.8521 0.0000 0.0000
0.0000 3.8618 0.0000
-0.0137 0.0000 6.9453
La Re Pt
1 1 2
direct
0.0000 0.0000 0.0000
0.0000 0.0000 0.5000
0.4985 0.5000 0.3048
0.5015 0.5000 0.6952


Most stable structure: *B*


*A*
LaRePt2 (PBE-GGA, optimized geometry); crystal system = orthorhombic; size of the total moment = 0.00 μB/f.u.
1.0
-1.4639 2.4720 5.2468
1.4639 -2.4720 5.2468
1.4639 2.4720 -5.2468
La Re Pt
1 1 2
direct
0.0000 0.0000 0.0000
0.7360 0.2360 0.5000
0.2819 0.7819 0.5000
0.5224 0.5224 0.0000


*B*
LaRePt2 (PBE-GGA, optimized geometry); crystal system = trigonal; size of the total moment = 0.36 μB/f.u.
1.0
1.4503 0.8373 10.0190
-1.4503 0.8373 10.0190
0.0000 -1.6746 10.0190
La Re Pt
1 1 2
direct
0.0000 0.0000 0.0000
0.2383 0.2383 0.2383
0.5015 0.5015 0.5015
0.7569 0.7569 0.7569


Most stable structure: *A*